# Ba6Hg2PdAu | Alexandria | GGA-PBE | optimized geometry
# DOS(E_F) in states/eV/cell: 13.0
# Magnetic moment in μB per atom: 0.0000
# E_form in kJ/mol of atoms: -45.8
data_Ba6Hg2PdAu
_cell_length_a 8.1278
_cell_length_b 9.0008
_cell_length_c 14.5072
_cell_angle_alpha 90.00
_cell_angle_beta 123.41
_cell_angle_gamma 90.00
_symmetry_space_group_name_H-M 'P 1 21/c 1'
_symmetry_Int_Tables_number 14
loop_
_symmetry_equiv_pos_as_xyz
'x,y,z'
'-x,-y,-z'
'-x,y+1/2,-z+1/2'
'x,-y+1/2,z+1/2'
loop_
_atom_site_label
_atom_site_type_symbol
_atom_site_fract_x
_atom_site_fract_y
_atom_site_fract_z
Ba1 Ba 0.1044 0.0368 0.2453
Ba2 Ba 0.2351 0.6884 0.0679
Ba3 Ba 0.3865 0.1786 0.0658
Hg1 Hg 0.3041 0.1118 0.7522
Pd1 Pd 0.0000 0.0000 0.0000
Au1 Au 0.5000 0.0000 0.5000